[1]
Entry from Alexandria via LeMat-Bulk: a geometry-optimized Al3GaIr structure (PBE).

Cell lengths 4.768, 4.768, 4.768 Å; angles 90.00, 90.00, 90.00 degrees
Sites, in units of the cell vectors:
Al: 0.000 0.000 0.500
Al: 0.000 0.500 0.000
Al: 0.500 0.000 0.000
Ga: 0.500 0.500 0.500
Ir: 0.000 0.000 0.000

Computed properties:
density of states at the Fermi level: 2.96 states/eV/cell
density: 5.3 g cm⁻³
M_tot: 0.00 μB/f.u.
energy above the most stable polymorph in this dataset: 155.7 meV per atom
E_form: -64 kJ/mol of formula units
uncorrected energy: -4.756 eV/atom
space group: Pm-3m (221)

---

[2]
Entry from Alexandria via LeMat-Bulk: a geometry-optimized NpU2PaP4 structure (PBE).

Cell lengths 6.805, 3.937, 6.884 Å; angles 90.00, 109.34, 90.00 degrees
Sites, in units of the cell vectors:
Np: 0.000 0.000 0.000
U: 0.000 0.500 0.500
U: 0.500 0.000 0.500
Pa: 0.500 0.500 0.000
P: 0.249 0.000 0.748
P: 0.250 0.500 0.252
P: 0.750 0.500 0.748
P: 0.751 0.000 0.252

Computed properties:
density of states at the Fermi level: 20.86 states/eV/cell
density: 10.2 g cm⁻³
M_tot: 7.75 μB/f.u.
E_form: -794 kJ/mol of formula units
uncorrected energy: -9.360 eV/atom
space group: P2/m (10)

---

[3]
Entry from Alexandria via LeMat-Bulk: a geometry-optimized Pm8AlSn2 structure (PBE).

Cell lengths 10.123, 10.123, 6.900 Å; angles 104.72, 104.72, 30.05 degrees
Sites, in units of the cell vectors:
Pm: 0.014 0.014 0.273
Pm: 0.213 0.213 0.816
Pm: 0.344 0.344 0.504
Pm: 0.409 0.409 0.026
Pm: 0.591 0.591 0.974
Pm: 0.656 0.656 0.496
Pm: 0.787 0.787 0.184
Pm: 0.986 0.986 0.727
Al: 0.500 0.500 0.500
Sn: 0.178 0.178 0.250
Sn: 0.822 0.822 0.750

Computed properties:
density of states at the Fermi level: 11.15 states/eV/cell
density: 6.9 g cm⁻³
M_tot: 0.00 μB/f.u.
E_form: -351 kJ/mol of formula units
uncorrected energy: -4.854 eV/atom
space group: C2/m (12)

---

[4]
Entry from Alexandria via LeMat-Bulk: a geometry-optimized TeIr2Au structure (PBE).

Cell lengths 4.319, 3.483, 5.055 Å; angles 90.00, 109.84, 90.00 degrees
Sites, in units of the cell vectors:
Te: 0.000 0.000 0.000
Ir: 0.500 0.000 0.500
Ir: 0.500 0.500 0.000
Au: 0.000 0.500 0.500

Computed properties:
density of states at the Fermi level: 3.34 states/eV/cell
density: 16.5 g cm⁻³
energy relative to the elements, uncorrected: 516 meV/atom
M_tot: 0.00 μB/f.u.
energy above the most stable polymorph in this dataset: 223.9 meV per atom
uncorrected energy: -5.519 eV/atom
space group: P2/m (10)

---

[5]
Entry from Alexandria via LeMat-Bulk: a geometry-optimized PmCo2GeP structure (PBE).

Cell lengths 6.095, 6.095, 7.047 Å; angles 90.00, 90.00, 140.88 degrees
Sites, in units of the cell vectors:
Pm: 0.067 0.933 0.750
Pm: 0.933 0.067 0.250
Co: 0.320 0.680 0.565
Co: 0.320 0.680 0.935
Co: 0.680 0.320 0.065
Co: 0.680 0.320 0.435
Ge: 0.224 0.776 0.250
Ge: 0.776 0.224 0.750
P: 0.500 0.500 0.000
P: 0.500 0.500 0.500

Computed properties:
density of states at the Fermi level: 8.37 states/eV/cell
density: 7.4 g cm⁻³
M_tot: 1.52 μB/f.u.
E_form: -296 kJ/mol of formula units
uncorrected energy: -6.412 eV/atom
space group: Cmcm (63)

---

[6]
Entry from Alexandria via LeMat-Bulk: a geometry-optimized LaMnAg2 structure (PBE).

Cell lengths 5.584, 5.584, 5.584 Å; angles 49.43, 49.43, 49.43 degrees
Sites, in units of the cell vectors:
La: 0.000 0.000 0.000
Mn: 0.205 0.205 0.205
Ag: 0.516 0.516 0.516
Ag: 0.788 0.788 0.788

Computed properties:
density of states at the Fermi level: 2.78 states/eV/cell
density: 7.4 g cm⁻³
M_tot: 3.57 μB/f.u.
E_form: 26 kJ/mol of formula units
uncorrected energy: -4.883 eV/atom
space group: R3m (160)

---

[7]
Entry from Alexandria via LeMat-Bulk: a geometry-optimized Cu2ReRu structure (PBE).

Cell lengths 5.421, 5.421, 5.421 Å; angles 102.28, 102.28, 125.06 degrees
Sites, in units of the cell vectors:
Cu: 0.124 0.625 0.999
Cu: 0.375 0.374 0.499
Cu: 0.626 0.125 0.001
Cu: 0.875 0.876 0.501
Re: 0.000 0.000 0.000
Re: 0.750 0.250 0.500
Ru: 0.250 0.750 0.500
Ru: 0.500 0.500 0.000

Computed properties:
density of states at the Fermi level: 11.53 states/eV/cell
density: 11.9 g cm⁻³
M_tot: 0.00 μB/f.u.
energy above the most stable polymorph in this dataset: 824.1 meV per atom
E_form: 369 kJ/mol of formula units
uncorrected energy: -6.522 eV/atom
space group: I-42d (122)

---

[8]
Entry from Alexandria via LeMat-Bulk: a geometry-optimized Tm12Re3H5 structure (PBE).

Cell lengths 12.927, 12.927, 12.927 Å; angles 109.47, 109.47, 109.47 degrees
Sites, in units of the cell vectors:
Tm: 0.029 0.216 0.123
Tm: 0.029 0.312 0.905
Tm: 0.093 0.716 0.688
Tm: 0.093 0.877 0.405
Tm: 0.095 0.623 0.407
Tm: 0.095 0.971 0.688
Tm: 0.123 0.029 0.216
Tm: 0.123 0.595 0.907
Tm: 0.188 0.216 0.593
Tm: 0.188 0.471 0.595
Tm: 0.216 0.123 0.029
Tm: 0.216 0.593 0.188
Tm: 0.284 0.312 0.907
Tm: 0.284 0.471 0.377
Tm: 0.312 0.905 0.029
Tm: 0.312 0.907 0.284
Tm: 0.377 0.284 0.471
Tm: 0.377 0.593 0.905
Tm: 0.405 0.093 0.877
Tm: 0.405 0.812 0.529
Tm: 0.407 0.095 0.623
Tm: 0.407 0.812 0.784
Tm: 0.471 0.377 0.284
Tm: 0.471 0.595 0.188
Tm: 0.529 0.405 0.812
Tm: 0.529 0.623 0.716
Tm: 0.593 0.188 0.216
Tm: 0.593 0.905 0.377
Tm: 0.595 0.188 0.471
Tm: 0.595 0.907 0.123
Tm: 0.623 0.407 0.095
Tm: 0.623 0.716 0.529
Tm: 0.688 0.093 0.716
Tm: 0.688 0.095 0.971
Tm: 0.716 0.529 0.623
Tm: 0.716 0.688 0.093
Tm: 0.784 0.407 0.812
Tm: 0.784 0.877 0.971
Tm: 0.812 0.529 0.405
Tm: 0.812 0.784 0.407
Tm: 0.877 0.405 0.093
Tm: 0.877 0.971 0.784
Tm: 0.905 0.029 0.312
Tm: 0.905 0.377 0.593
Tm: 0.907 0.123 0.595
Tm: 0.907 0.284 0.312
Tm: 0.971 0.688 0.095
Tm: 0.971 0.784 0.877
Re: 0.125 0.250 0.375
Re: 0.125 0.375 0.750
Re: 0.250 0.375 0.125
Re: 0.250 0.875 0.625
Re: 0.375 0.125 0.250
Re: 0.375 0.750 0.125
Re: 0.625 0.250 0.875
Re: 0.625 0.875 0.750
Re: 0.750 0.125 0.375
Re: 0.750 0.625 0.875
Re: 0.875 0.625 0.250
Re: 0.875 0.750 0.625
H: 0.000 0.000 0.000
H: 0.000 0.000 0.500
H: 0.000 0.500 0.000
H: 0.000 0.500 0.500
H: 0.125 0.750 0.875
H: 0.125 0.875 0.250
H: 0.250 0.125 0.875
H: 0.250 0.625 0.375
H: 0.375 0.250 0.625
H: 0.375 0.625 0.750
H: 0.500 0.000 0.000
H: 0.500 0.000 0.500
H: 0.500 0.500 0.000
H: 0.500 0.500 0.500
H: 0.625 0.375 0.250
H: 0.625 0.750 0.375
H: 0.750 0.375 0.625
H: 0.750 0.875 0.125
H: 0.875 0.125 0.750
H: 0.875 0.250 0.125

Computed properties:
density of states at the Fermi level: 46.07 states/eV/cell
density: 10.3 g cm⁻³
M_tot: 0.00 μB/f.u.
uncorrected energy: -5.554 eV/atom
space group: Ia-3d (230)

---

[9]
Entry from Alexandria via LeMat-Bulk: a geometry-optimized LiMnCl2 structure (PBE).

Cell lengths 3.483, 3.535, 7.552 Å; angles 90.00, 90.00, 90.00 degrees
Sites, in units of the cell vectors:
Li: 0.000 0.000 0.000
Mn: 0.500 0.000 0.500
Cl: 0.000 0.500 0.500
Cl: 0.500 0.500 0.000

Computed properties:
density of states at the Fermi level: 2.54 states/eV/cell
density: 2.4 g cm⁻³
energy relative to the elements, uncorrected: -752 meV/atom
M_tot: 4.18 μB/f.u.
energy above the most stable polymorph in this dataset: 210.0 meV per atom
uncorrected energy: -4.447 eV/atom
space group: Pmmm (47)

---

[10]
Entry from Alexandria via LeMat-Bulk: a geometry-optimized CaMo2Ru structure (PBE).

Cell lengths 5.575, 5.575, 5.575 Å; angles 147.43, 131.55, 59.61 degrees
Sites, in units of the cell vectors:
Ca: 0.000 0.000 0.000
Mo: 0.268 0.768 0.500
Mo: 0.732 0.232 0.500
Ru: 0.500 0.500 0.000

Computed properties:
density of states at the Fermi level: 2.49 states/eV/cell
density: 8.0 g cm⁻³
M_tot: 0.00 μB/f.u.
energy above the most stable polymorph in this dataset: 0.0 meV per atom
E_form: 158 kJ/mol of formula units
uncorrected energy: -7.825 eV/atom
space group: Immm (71)

---

[11]
Entry from Alexandria via LeMat-Bulk: a geometry-optimized La6ZnSi2S14 structure (PBE).

Cell lengths 10.369, 10.369, 5.785 Å; angles 90.00, 90.00, 120.00 degrees
Sites, in units of the cell vectors:
La: 0.023 0.456 0.000
La: 0.311 0.212 0.497
La: 0.433 0.977 0.000
La: 0.544 0.567 0.000
La: 0.788 0.100 0.497
La: 0.900 0.689 0.497
Zn: 0.667 0.333 0.743
Si: 0.000 0.000 0.081
Si: 0.333 0.667 0.588
S: 0.000 0.000 0.717
S: 0.075 0.218 0.223
S: 0.143 0.925 0.223
S: 0.191 0.743 0.728
S: 0.257 0.449 0.728
S: 0.333 0.667 0.223
S: 0.424 0.250 0.973
S: 0.505 0.090 0.497
S: 0.551 0.809 0.728
S: 0.585 0.495 0.497
S: 0.750 0.174 0.973
S: 0.782 0.857 0.223
S: 0.826 0.576 0.973
S: 0.910 0.415 0.497

Computed properties:
density of states at the Fermi level: 0.00 states/eV/cell
density: 4.3 g cm⁻³
energy relative to the elements, uncorrected: -1713 meV/atom
M_tot: 0.00 μB/f.u.
uncorrected energy: -6.037 eV/atom
space group: P3 (143)

---

[12]
Entry from Alexandria via LeMat-Bulk: a geometry-optimized Pr4SiSeCl2 structure (PBE).

Cell lengths 7.313, 4.266, 7.440 Å; angles 90.00, 109.73, 90.00 degrees
Sites, in units of the cell vectors:
Pr: 0.226 0.000 0.229
Pr: 0.228 0.500 0.759
Pr: 0.772 0.500 0.241
Pr: 0.774 0.000 0.771
Si: 0.000 0.500 0.000
Se: 0.000 0.000 0.500
Cl: 0.500 0.000 0.000
Cl: 0.500 0.500 0.500

Computed properties:
density of states at the Fermi level: 3.37 states/eV/cell
density: 5.6 g cm⁻³
energy relative to the elements, uncorrected: -1430 meV/atom
M_tot: 0.00 μB/f.u.
uncorrected energy: -5.395 eV/atom
space group: P2/m (10)

---

What is the uncorrected energy in the third record?
-4.854 eV/atom